This record from the Alexandria database describes Na3Sb3As2O14 after structural relaxation. The functional is GGA-PBEsol.

The total energy is -6.12 eV per atom.

It has space group P2_1/c (No. 14), with a = 6.489 Å, b = 7.308 Å, c = 12.597 Å, α = 90.00°, β = 107.34° and γ = 90.00°. The inequivalent atoms are Na at (0.000, 0.000, 0.000), Na at (0.464, 0.212, 0.068), Sb at (0.000, 0.000, 0.500), Sb at (0.023, 0.241, 0.253), As at (0.416, 0.735, 0.161), O at (0.037, 0.704, 0.906), O at (0.072, 0.005, 0.804), O at (0.102, 0.191, 0.416), O at (0.295, 0.722, 0.763), O at (0.317, 0.529, 0.094), O at (0.329, 0.187, 0.254) and O at (0.390, 0.596, 0.569).